(one)
# Ho3Cd2Pt

A geometry-optimized Ho3Cd2Pt structure (GGA-PBE, Alexandria via LeMat-Bulk).

abc: 8.133 8.133 7.654
angles: 103.57 103.57 42.43
Fractional coordinates of all 12 atoms:
Ho1 0.001 0.999 0.750
Ho2 0.368 0.368 0.434
Ho3 0.368 0.368 0.934
Ho4 0.632 0.632 0.066
Ho5 0.632 0.632 0.566
Ho6 0.999 0.001 0.250
Cd1 0.192 0.192 0.097
Cd2 0.192 0.192 0.597
Cd3 0.808 0.808 0.403
Cd4 0.808 0.808 0.903
Pt1 0.499 0.501 0.250
Pt2 0.501 0.499 0.750

Properties
DOS(E_F), states/eV/cell: 9.55
SG: No. 15

(two)
# Ho3Cd2Pt

A geometry-optimized Ho3Cd2Pt structure (GGA-PBE, Alexandria via LeMat-Bulk).

abc: 5.116 5.116 6.321
angles: 90.00 90.00 120.00
Fractional coordinates of all 6 atoms:
Ho1 0.000 0.000 0.000
Ho2 0.333 0.667 0.643
Ho3 0.667 0.333 0.357
Cd1 0.333 0.667 0.141
Cd2 0.667 0.333 0.859
Pt1 0.000 0.000 0.500

Properties
DOS(E_F), states/eV/cell: 4.27
SG: No. 164

In terms of stability, (two) leads; the second structure lies 145 meV/atom higher.

(one)
# HoPuCd2

A geometry-optimized HoPuCd2 structure (GGA-PBE, Alexandria via LeMat-Bulk).

abc: 5.386 5.386 3.653
angles: 90.00 90.00 90.00
Fractional coordinates of all 4 atoms:
Ho1 0.000 0.000 0.000
Pu1 0.500 0.500 0.000
Cd1 0.000 0.500 0.500
Cd2 0.500 0.000 0.500

Properties
DOS(E_F), states/eV/cell: 9.38
SG: No. 123

(two)
# HoPuCd2

A geometry-optimized HoPuCd2 structure (GGA-PBE, Alexandria via LeMat-Bulk).

abc: 5.312 5.312 5.312
angles: 60.00 60.00 60.00
Fractional coordinates of all 4 atoms:
Ho1 0.000 0.000 0.000
Pu1 0.500 0.500 0.500
Cd1 0.250 0.250 0.250
Cd2 0.750 0.750 0.750

Properties
DOS(E_F), states/eV/cell: 9.37
SG: No. 225

In terms of stability, (one) leads; the second structure lies 14 meV/atom higher.

(one)
# HoPuCdRu

A geometry-optimized HoPuCdRu structure (GGA-PBE, Alexandria via LeMat-Bulk).

abc: 5.030 5.030 5.030
angles: 60.00 60.00 60.00
Fractional coordinates of all 4 atoms:
Ho1 0.000 0.000 0.000
Pu1 0.500 0.500 0.500
Cd1 0.250 0.250 0.250
Ru1 0.750 0.750 0.750

Properties
DOS(E_F), states/eV/cell: 10.84
SG: No. 216

(two)
# HoPuCdRu

A geometry-optimized HoPuCdRu structure (GGA-PBE, Alexandria via LeMat-Bulk).

abc: 3.324 3.324 8.287
angles: 90.00 90.00 90.00
Fractional coordinates of all 4 atoms:
Ho1 0.000 0.000 0.000
Pu1 0.000 0.000 0.585
Cd1 0.500 0.500 0.288
Ru1 0.500 0.500 0.793

Properties
DOS(E_F), states/eV/cell: 8.08
SG: No. 99

In terms of stability, (two) leads; the second structure lies 167 meV/atom higher.

(one)
# Ho4CdRh

A geometry-optimized Ho4CdRh structure (GGA-PBE, Alexandria via LeMat-Bulk).

abc: 4.865 4.865 7.301
angles: 90.10 90.10 90.00
Fractional coordinates of all 6 atoms:
Ho1 0.000 0.499 0.225
Ho2 0.000 0.501 0.775
Ho3 0.499 0.000 0.225
Ho4 0.501 0.000 0.775
Cd1 0.000 0.000 0.500
Rh1 0.500 0.500 0.000

Properties
DOS(E_F), states/eV/cell: 8.25
SG: No. 12

(two)
# Ho4CdRh

A geometry-optimized Ho4CdRh structure (GGA-PBE, Alexandria via LeMat-Bulk).

abc: 9.568 9.568 9.568
angles: 60.00 60.00 60.00
Fractional coordinates of all 24 atoms:
Ho1 0.186 0.186 0.814
Ho2 0.186 0.814 0.186
Ho3 0.186 0.814 0.814
Ho4 0.400 0.400 0.400
Ho5 0.400 0.400 0.800
Ho6 0.400 0.800 0.400
Ho7 0.561 0.561 0.939
Ho8 0.561 0.939 0.561
Ho9 0.561 0.939 0.939
Ho10 0.800 0.400 0.400
Ho11 0.814 0.186 0.186
Ho12 0.814 0.186 0.814
Ho13 0.814 0.814 0.186
Ho14 0.939 0.561 0.561
Ho15 0.939 0.561 0.939
Ho16 0.939 0.939 0.561
Cd1 0.169 0.169 0.169
Cd2 0.169 0.169 0.494
Cd3 0.169 0.494 0.169
Cd4 0.494 0.169 0.169
Rh1 0.178 0.607 0.607
Rh2 0.607 0.178 0.607
Rh3 0.607 0.607 0.178
Rh4 0.607 0.607 0.607

Properties
DOS(E_F), states/eV/cell: 14.75
SG: No. 216

In terms of stability, (two) leads; the second structure lies 263 meV/atom higher.

(one)
# HoScCdRh

A geometry-optimized HoScCdRh structure (GGA-PBE, Alexandria via LeMat-Bulk).

abc: 4.908 4.908 4.908
angles: 60.00 60.00 60.00
Fractional coordinates of all 4 atoms:
Ho1 0.000 0.000 0.000
Sc1 0.500 0.500 0.500
Cd1 0.250 0.250 0.250
Rh1 0.750 0.750 0.750

Properties
DOS(E_F), states/eV/cell: 2.21
SG: No. 216

(two)
# HoScCdRh

A geometry-optimized HoScCdRh structure (GGA-PBE, Alexandria via LeMat-Bulk).

abc: 3.399 3.399 7.337
angles: 90.00 90.00 90.00
Fractional coordinates of all 4 atoms:
Ho1 0.000 0.000 0.000
Sc1 0.000 0.000 0.566
Cd1 0.500 0.500 0.303
Rh1 0.500 0.500 0.764

Properties
DOS(E_F), states/eV/cell: 2.50
SG: No. 99

In terms of stability, (two) leads; the second structure lies 104 meV/atom higher.

(one)
# HoTmCdRh

A geometry-optimized HoTmCdRh structure (GGA-PBE, Alexandria via LeMat-Bulk).

abc: 5.008 5.008 5.008
angles: 60.00 60.00 60.00
Fractional coordinates of all 4 atoms:
Ho1 0.000 0.000 0.000
Tm1 0.500 0.500 0.500
Cd1 0.250 0.250 0.250
Rh1 0.750 0.750 0.750

Properties
DOS(E_F), states/eV/cell: 2.39
SG: No. 216

(two)
# HoTmCdRh

A geometry-optimized HoTmCdRh structure (GGA-PBE, Alexandria via LeMat-Bulk).

abc: 3.476 3.476 7.490
angles: 90.00 90.00 90.00
Fractional coordinates of all 4 atoms:
Ho1 0.000 0.000 0.000
Tm1 0.000 0.000 0.566
Cd1 0.500 0.500 0.286
Rh1 0.500 0.500 0.779

Properties
DOS(E_F), states/eV/cell: 2.35
SG: No. 99

In terms of stability, (two) leads; the second structure lies 93 meV/atom higher.

(one)
# Ho7Cd2Ru2

A geometry-optimized Ho7Cd2Ru2 structure (GGA-PBE, Alexandria via LeMat-Bulk).

abc: 9.708 9.708 9.708
angles: 157.77 62.96 121.93
Fractional coordinates of all 11 atoms:
Ho1 0.000 0.000 0.000
Ho2 0.297 0.432 0.864
Ho3 0.309 0.626 0.683
Ho4 0.568 0.432 0.136
Ho5 0.614 0.266 0.349
Ho6 0.917 0.266 0.651
Ho7 0.944 0.626 0.317
Cd1 0.273 0.773 0.500
Cd2 0.667 0.667 0.000
Ru1 0.166 0.923 0.243
Ru2 0.681 0.923 0.757

Properties
DOS(E_F), states/eV/cell: 13.45
SG: No. 44

(two)
# Ho7Cd2Ru2

A geometry-optimized Ho7Cd2Ru2 structure (GGA-PBE, Alexandria via LeMat-Bulk).

abc: 6.711 6.711 7.146
angles: 90.00 90.00 107.81
Fractional coordinates of all 11 atoms:
Ho1 0.000 0.000 0.000
Ho2 0.000 0.500 0.251
Ho3 0.000 0.500 0.749
Ho4 0.500 0.000 0.251
Ho5 0.500 0.000 0.749
Ho6 0.500 0.500 0.240
Ho7 0.500 0.500 0.760
Cd1 0.177 0.177 0.500
Cd2 0.823 0.823 0.500
Ru1 0.294 0.706 0.000
Ru2 0.706 0.294 0.000

Properties
DOS(E_F), states/eV/cell: 8.92
SG: No. 65

In terms of stability, (one) leads; the second structure lies 78 meV/atom higher.

(one)
# Ho6CdRu

A geometry-optimized Ho6CdRu structure (GGA-PBE, Alexandria via LeMat-Bulk).

abc: 9.225 9.225 9.225
angles: 148.29 148.29 45.46
Fractional coordinates of all 8 atoms:
Ho1 0.101 0.601 0.500
Ho2 0.250 0.250 0.000
Ho3 0.399 0.899 0.500
Ho4 0.601 0.101 0.500
Ho5 0.750 0.750 0.000
Ho6 0.899 0.399 0.500
Cd1 0.000 0.000 0.000
Ru1 0.500 0.500 0.000

Properties
DOS(E_F), states/eV/cell: 10.17
SG: No. 139

(two)
# Ho6CdRu

A geometry-optimized Ho6CdRu structure (GGA-PBE, Alexandria via LeMat-Bulk).

abc: 6.802 6.823 7.421
angles: 90.19 117.04 119.89
Fractional coordinates of all 8 atoms:
Ho1 0.042 0.082 0.257
Ho2 0.297 0.715 0.256
Ho3 0.323 0.539 0.744
Ho4 0.677 0.461 0.256
Ho5 0.703 0.285 0.744
Ho6 0.958 0.918 0.743
Cd1 0.500 0.000 0.000
Ru1 0.500 0.500 0.500

Properties
DOS(E_F), states/eV/cell: 10.57
SG: No. 2

In terms of stability, (one) leads; the second structure lies 137 meV/atom higher.